First-principles (PBE) data for a relaxed structure of Sr2TlPbN, as listed in the Alexandria database.

```
Sr2TlPbN
1.0
5.253 0.000 0.000
0.000 5.253 0.000
0.000 0.000 4.939
Sr Tl Pb N
2 1 1 1
direct
0.000 0.500 0.000
0.500 0.000 0.000
0.000 0.000 0.500
0.500 0.500 0.500
0.000 0.000 0.000
```

Computed properties:
Uncorrected formation energy   -304.0 meV per atom
N(E_F)   0.463 states/eV per atom
Magnetic moment   0.000 μB/atom

---

First-principles (PBE) data for a relaxed structure of Sr2ZnPbN, as listed in the Alexandria database.

```
Sr2ZnPbN
1.0
3.913 0.000 0.000
0.000 7.559 -0.032
0.000 -3.279 9.033
Zn N Sr Pb
2 2 4 2
direct
0.750 0.445 0.230
0.250 0.555 0.770
0.250 0.828 0.840
0.750 0.172 0.160
0.250 0.197 0.354
0.750 0.803 0.646
0.750 0.814 0.030
0.250 0.186 0.970
0.250 0.720 0.314
0.750 0.280 0.686
```

Computed properties:
Uncorrected formation energy   -514.5 meV per atom
N(E_F)   0.373 states/eV per atom
Magnetic moment   0.000 μB/atom

---

First-principles (PBE) data for a relaxed structure of Sr2ZnPbN, as listed in the Alexandria database.

```
Sr2ZnPbN
1.0
-3.157 4.667 0.617
-1.394 -0.217 -5.490
-3.073 -2.194 0.867
N Sr Zn Pb
1 2 1 1
direct
0.000 0.000 0.000
0.500 0.000 0.000
0.000 0.500 0.000
0.000 0.000 0.500
0.500 0.500 0.500
```

Computed properties:
Uncorrected formation energy   -407.9 meV per atom
N(E_F)   0.326 states/eV per atom
Magnetic moment   0.000 μB/atom

---

First-principles (PBE) data for a relaxed structure of SrZrPb2N, as listed in the Alexandria database.

```
SrZrPb2N
1.0
6.106 0.000 0.000
0.000 4.125 0.000
0.000 0.000 6.106
N Zr Sr Pb
1 1 1 2
direct
0.000 0.500 0.000
0.500 0.500 0.500
0.000 0.000 0.000
0.000 0.000 0.500
0.500 0.000 0.000
```

Computed properties:
Uncorrected formation energy   1242.9 meV per atom
N(E_F)   1.041 states/eV per atom
Magnetic moment   0.121 μB/atom

---

First-principles (PBE) data for a relaxed structure of SrZrPb2N, as listed in the Alexandria database.

```
SrZrPb2N
1.0
5.087 0.000 0.000
0.000 4.800 0.000
0.000 0.000 5.087
Sr Zr Pb N
1 1 2 1
direct
0.000 0.500 0.000
0.500 0.500 0.500
0.000 0.000 0.500
0.500 0.000 0.000
0.000 0.000 0.000
```

Computed properties:
Uncorrected formation energy   388.3 meV per atom
N(E_F)   1.645 states/eV per atom
Magnetic moment   0.000 μB/atom

---

First-principles (PBE) data for a relaxed structure of Ta2PbN2, as listed in the Alexandria database.

```
Ta2PbN2
1.0
-2.285 1.904 -6.346
5.849 -2.575 -2.878
-1.292 -2.586 -0.311
N Ta Pb
4 4 2
direct
0.885 0.615 0.000
0.615 0.115 0.000
0.115 0.385 0.000
0.385 0.885 0.000
0.136 0.636 0.500
0.364 0.136 0.500
0.864 0.364 0.500
0.636 0.864 0.500
0.500 0.500 0.000
0.000 0.000 0.000
```

Computed properties:
Uncorrected formation energy   442.0 meV per atom
N(E_F)   0.435 states/eV per atom
Magnetic moment   0.000 μB/atom

---

First-principles (PBE) data for a relaxed structure of TaPbN3, as listed in the Alexandria database.

```
TaPbN3
1.0
-0.180 3.394 2.346
-3.630 -1.246 1.524
1.961 -1.996 3.038
N Pb Ta
3 1 1
direct
0.500 0.000 0.000
0.000 0.500 0.000
0.000 0.000 0.500
0.500 0.500 0.500
0.000 0.000 0.000
```

Computed properties:
Uncorrected formation energy   175.5 meV per atom
N(E_F)   0.622 states/eV per atom
Magnetic moment   0.347 μB/atom

---

First-principles (PBE) data for a relaxed structure of TaPbN3, as listed in the Alexandria database.

```
TaPbN3
1.0
-2.370 2.147 2.604
1.590 -2.096 3.176
2.977 2.829 0.377
N Ta Pb
3 1 1
direct
0.000 0.000 0.500
0.000 0.500 0.000
0.500 0.000 0.000
0.500 0.500 0.500
0.000 0.000 0.000
```

Computed properties:
Uncorrected formation energy   2233.0 meV per atom
N(E_F)   0.912 states/eV per atom
Magnetic moment   0.000 μB/atom

---

First-principles (PBE) data for a relaxed structure of TaPbN2, as listed in the Alexandria database.

```
TaPbN2
1.0
-6.147 0.504 4.024
-5.310 -2.555 4.416
-3.951 -0.284 6.208
N Pb Ta
2 1 1
direct
0.117 0.117 0.117
0.883 0.883 0.883
0.000 0.000 0.000
0.500 0.500 0.500
```

Computed properties:
Uncorrected formation energy   -492.8 meV per atom
N(E_F)   0.115 states/eV per atom
Magnetic moment   0.000 μB/atom

---

First-principles (PBE) data for a relaxed structure of TaPb3N, as listed in the Alexandria database.

```
TaPb3N
1.0
-3.625 2.889 -1.401
-1.751 -0.007 4.514
2.691 3.886 1.050
Pb Ta N
3 1 1
direct
0.000 0.000 0.500
0.000 0.500 0.000
0.500 0.000 0.000
0.500 0.500 0.500
0.000 0.000 0.000
```

Computed properties:
Uncorrected formation energy   1152.6 meV per atom
N(E_F)   0.988 states/eV per atom
Magnetic moment   0.000 μB/atom

---

First-principles (PBE) data for a relaxed structure of TaPb2N3, as listed in the Alexandria database.

```
TaPb2N3
1.0
5.648 3.104 -0.001
-5.648 3.104 -0.001
0.000 0.052 13.237
N Ta Pb
12 4 8
direct
0.082 0.312 0.557
0.523 0.831 0.403
0.688 0.918 0.943
0.538 0.462 0.250
0.918 0.688 0.443
0.831 0.523 0.903
0.169 0.477 0.097
0.312 0.082 0.057
0.008 0.992 0.750
0.462 0.538 0.750
0.477 0.169 0.597
0.992 0.008 0.250
0.747 0.742 0.837
0.253 0.258 0.163
0.742 0.747 0.337
0.258 0.253 0.663
0.110 0.461 0.387
0.085 0.345 0.919
0.539 0.890 0.113
0.345 0.085 0.419
0.461 0.110 0.887
0.655 0.915 0.581
0.890 0.539 0.613
0.915 0.655 0.081
```

Computed properties:
Uncorrected formation energy   -146.2 meV per atom
Magnetic moment   0.000 μB/atom

---

First-principles (PBE) data for a relaxed structure of TaPbN2, as listed in the Alexandria database.

```
TaPbN2
1.0
5.569 0.000 0.000
0.000 5.569 0.000
2.784 2.784 4.772
N Pb Ta
4 2 2
direct
0.375 0.502 0.750
0.252 0.625 0.250
0.498 0.125 0.250
0.875 0.748 0.750
0.750 0.250 0.500
0.000 0.000 0.000
0.500 0.500 0.000
0.250 0.750 0.500
```

Computed properties:
Uncorrected formation energy   -375.1 meV per atom
N(E_F)   0.264 states/eV per atom
Magnetic moment   0.000 μB/atom

---

Q: The highest uncorrected formation energy belongs to which entry?
A: number 8

---

Repeat the second record exactly.
First-principles (PBE) data for a relaxed structure of Sr2ZnPbN, as listed in the Alexandria database.

```
Sr2ZnPbN
1.0
3.913 0.000 0.000
0.000 7.559 -0.032
0.000 -3.279 9.033
Zn N Sr Pb
2 2 4 2
direct
0.750 0.445 0.230
0.250 0.555 0.770
0.250 0.828 0.840
0.750 0.172 0.160
0.250 0.197 0.354
0.750 0.803 0.646
0.750 0.814 0.030
0.250 0.186 0.970
0.250 0.720 0.314
0.750 0.280 0.686
```

Computed properties:
Uncorrected formation energy   -514.5 meV per atom
N(E_F)   0.373 states/eV per atom
Magnetic moment   0.000 μB/atom

---

Repeat the second record exactly.
First-principles (PBE) data for a relaxed structure of Sr2ZnPbN, as listed in the Alexandria database.

```
Sr2ZnPbN
1.0
3.913 0.000 0.000
0.000 7.559 -0.032
0.000 -3.279 9.033
Zn N Sr Pb
2 2 4 2
direct
0.750 0.445 0.230
0.250 0.555 0.770
0.250 0.828 0.840
0.750 0.172 0.160
0.250 0.197 0.354
0.750 0.803 0.646
0.750 0.814 0.030
0.250 0.186 0.970
0.250 0.720 0.314
0.750 0.280 0.686
```

Computed properties:
Uncorrected formation energy   -514.5 meV per atom
N(E_F)   0.373 states/eV per atom
Magnetic moment   0.000 μB/atom